[1]
Computed, not measured: a geometry-optimized Be2SbPt structure at the GGA-PBE level of DFT.

Geometry as POSCAR:
```
Be2SbPt
1.0
5.356 0.000 0.000
0.000 7.159 0.000
0.000 0.000 3.019
Be Sb Pt
4 2 2
Direct
0.250 0.250 0.000 Be
0.250 0.750 0.000 Be
0.750 0.250 0.000 Be
0.750 0.750 0.000 Be
0.000 0.000 0.500 Sb
0.500 0.500 0.500 Sb
0.000 0.500 0.500 Pt
0.500 0.000 0.500 Pt
```

The total energy comes out at -4.25 eV per atom. The value obtained for the energy relative to the elements, uncorrected is 0.1519 eV per atom. The crystal system is orthorhombic. As for the space-group type: Cmmm (65). The total magnetic moment comes out at 0.0 Bohr magnetons per cell.



[2]
Computed, not measured: a geometry-optimized SrPuZn2Au5 structure at the GGA-PBE level of DFT.

Geometry as POSCAR:
```
SrPuZn2Au5
1.0
4.587 0.000 0.000
0.000 4.587 0.000
0.000 0.000 9.255
Sr Pu Zn Au
1 1 2 5
Direct
0.000 0.000 0.000 Sr
0.000 0.000 0.500 Pu
0.500 0.500 0.369 Zn
0.500 0.500 0.631 Zn
0.000 0.500 0.241 Au
0.000 0.500 0.759 Au
0.500 0.000 0.241 Au
0.500 0.000 0.759 Au
0.500 0.500 0.000 Au
```

The total energy comes out at -4.25 eV per atom. The crystal system is tetragonal. As for the space-group type: P4/mmm (123). The value obtained for the formation energy is -0.366 eV/atom. The total magnetic moment comes out at 5.7 Bohr magnetons per cell.



[3]
Computed, not measured: a geometry-optimized AcDy3Er7 structure at the GGA-PBE level of DFT.

Geometry as POSCAR:
```
AcDy3Er7
1.0
6.963 0.000 0.000
0.000 5.551 0.000
-3.094 0.000 9.316
Ac Dy Er
1 3 7
Direct
0.000 0.000 0.000 Ac
0.275 0.500 0.492 Dy
0.500 0.000 0.000 Dy
0.725 0.500 0.508 Dy
0.000 0.000 0.500 Er
0.149 0.500 0.788 Er
0.332 0.500 0.144 Er
0.437 0.000 0.333 Er
0.563 0.000 0.667 Er
0.668 0.500 0.856 Er
0.851 0.500 0.212 Er
```

The total energy comes out at -4.38 eV per atom. Its energy above the most stable polymorph in this dataset is 0.0000 eV/atom. The crystal system is monoclinic. As for the space-group type: P2/m (10). The value obtained for the formation energy is 0.157 eV/atom. The total magnetic moment comes out at 0.0 Bohr magnetons per cell.



[4]
Computed, not measured: a geometry-optimized Ac2Dy4Ho5 structure at the GGA-PBE level of DFT.

Geometry as POSCAR:
```
Ac2Dy4Ho5
1.0
12.049 -1.814 0.000
12.049 1.814 0.000
-3.453 0.000 8.627
Ac Dy Ho
2 4 5
Direct
0.111 0.111 0.424 Ac
0.889 0.889 0.576 Ac
0.046 0.046 0.716 Dy
0.315 0.315 0.160 Dy
0.685 0.685 0.840 Dy
0.954 0.954 0.284 Dy
0.133 0.133 0.072 Ho
0.266 0.266 0.662 Ho
0.500 0.500 0.000 Ho
0.734 0.734 0.338 Ho
0.867 0.867 0.928 Ho
```

The total energy comes out at -4.36 eV per atom. The crystal system is monoclinic. As for the space-group type: C2/m (12). The value obtained for the formation energy is 0.146 eV/atom. The total magnetic moment comes out at 0.0 Bohr magnetons per cell.



[5]
Computed, not measured: a geometry-optimized Nd2Ga12Au structure at the GGA-PBE level of DFT.

Geometry as POSCAR:
```
Nd2Ga12Au
1.0
6.260 0.000 0.000
0.000 6.260 0.000
0.000 0.000 15.419
Nd Ga Au
4 24 2
Direct
0.250 0.750 0.249 Nd
0.250 0.750 0.751 Nd
0.750 0.250 0.249 Nd
0.750 0.250 0.751 Nd
0.000 0.000 0.093 Ga
0.000 0.000 0.907 Ga
0.000 0.500 0.093 Ga
0.000 0.500 0.907 Ga
0.080 0.580 0.431 Ga
0.080 0.920 0.569 Ga
0.250 0.250 0.186 Ga
0.250 0.250 0.346 Ga
0.250 0.250 0.654 Ga
0.250 0.250 0.814 Ga
0.420 0.580 0.569 Ga
0.420 0.920 0.431 Ga
0.500 0.000 0.093 Ga
0.500 0.000 0.907 Ga
0.500 0.500 0.093 Ga
0.500 0.500 0.907 Ga
0.580 0.080 0.569 Ga
0.580 0.420 0.431 Ga
0.750 0.750 0.186 Ga
0.750 0.750 0.346 Ga
0.750 0.750 0.654 Ga
0.750 0.750 0.814 Ga
0.920 0.080 0.431 Ga
0.920 0.420 0.569 Ga
0.250 0.750 0.000 Au
0.750 0.250 0.000 Au
```

The total energy comes out at -3.63 eV per atom. The crystal system is tetragonal. As for the space-group type: P4/nbm (125). The value obtained for the formation energy is -0.356 eV/atom. The total magnetic moment comes out at 0.0 Bohr magnetons per cell.



[6]
Computed, not measured: a geometry-optimized Cd2Pb2F structure at the GGA-PBE level of DFT.

Geometry as POSCAR:
```
Cd2Pb2F
1.0
7.054 0.000 0.000
0.000 7.054 0.000
0.000 0.000 5.296
Cd Pb F
4 4 2
Direct
0.155 0.345 0.000 Cd
0.345 0.845 0.000 Cd
0.655 0.155 0.000 Cd
0.845 0.655 0.000 Cd
0.173 0.673 0.500 Pb
0.327 0.173 0.500 Pb
0.673 0.827 0.500 Pb
0.827 0.327 0.500 Pb
0.000 0.000 0.500 F
0.500 0.500 0.500 F
```

The total energy comes out at -2.73 eV per atom. The value obtained for the energy relative to the elements, uncorrected is -0.5036 eV per atom. Its energy above the most stable polymorph in this dataset is 0.0000 eV/atom. The crystal system is tetragonal. As for the space-group type: P4/mbm (127). The total magnetic moment comes out at 0.0 Bohr magnetons per cell.



[7]
Computed, not measured: a geometry-optimized In6Hg12I structure at the GGA-PBE level of DFT.

Geometry as POSCAR:
```
In6Hg12I
1.0
5.732 -5.802 0.000
5.732 5.802 0.000
-2.692 0.000 8.382
In Hg I
6 12 1
Direct
0.095 0.654 0.636 In
0.141 0.141 0.128 In
0.346 0.905 0.364 In
0.654 0.095 0.636 In
0.859 0.859 0.872 In
0.905 0.346 0.364 In
0.108 0.375 0.878 Hg
0.244 0.756 0.000 Hg
0.249 0.525 0.298 Hg
0.345 0.345 0.619 Hg
0.375 0.108 0.878 Hg
0.475 0.751 0.702 Hg
0.525 0.249 0.298 Hg
0.625 0.892 0.122 Hg
0.655 0.655 0.381 Hg
0.751 0.475 0.702 Hg
0.756 0.244 0.000 Hg
0.892 0.625 0.122 Hg
0.000 0.000 0.500 I
```

The total energy comes out at -1.14 eV per atom. The value obtained for the energy relative to the elements, uncorrected is -0.0047 eV per atom. Its energy above the most stable polymorph in this dataset is 0.0000 eV/atom. The crystal system is monoclinic. As for the space-group type: C2/m (12). The total magnetic moment comes out at 0.0 Bohr magnetons per cell.



[8]
Computed, not measured: a geometry-optimized LaCe2Zn2In2 structure at the GGA-PBE level of DFT.

Geometry as POSCAR:
```
LaCe2Zn2In2
1.0
2.294 1.324 9.621
-2.294 1.324 9.621
0.000 -2.649 9.621
La Ce Zn In
1 2 2 2
Direct
0.000 0.000 0.000 La
0.144 0.144 0.144 Ce
0.856 0.856 0.856 Ce
0.416 0.416 0.416 Zn
0.584 0.584 0.584 Zn
0.262 0.262 0.262 In
0.738 0.738 0.738 In
```

The total energy comes out at -3.84 eV per atom. The crystal system is trigonal. As for the space-group type: R-3m (166). The value obtained for the formation energy is -0.299 eV/atom. The total magnetic moment comes out at 1.6 Bohr magnetons per cell.



[9]
Computed, not measured: a geometry-optimized Rb3Pu3RuS8 structure at the GGA-PBE level of DFT.

Geometry as POSCAR:
```
Rb3Pu3RuS8
1.0
6.799 -3.925 0.000
6.799 3.925 0.000
-4.514 0.000 7.865
Rb Pu Ru S
3 3 1 8
Direct
0.000 0.000 0.000 Rb
0.000 0.500 0.000 Rb
0.500 0.000 0.000 Rb
0.000 0.500 0.500 Pu
0.500 0.000 0.500 Pu
0.500 0.500 0.500 Pu
0.000 0.000 0.500 Ru
0.212 0.753 0.676 S
0.213 0.213 0.676 S
0.247 0.788 0.324 S
0.268 0.268 0.304 S
0.732 0.732 0.696 S
0.753 0.212 0.676 S
0.787 0.787 0.324 S
0.788 0.247 0.324 S
```

The total energy comes out at -7.13 eV per atom. The value obtained for the energy relative to the elements, uncorrected is -1.2466 eV per atom. The crystal system is monoclinic. As for the space-group type: C2/m (12). The total magnetic moment comes out at 4.3 Bohr magnetons per cell.



[10]
Computed, not measured: a geometry-optimized LiMnAlTc structure at the GGA-PBE level of DFT.

Geometry as POSCAR:
```
LiMnAlTc
1.0
5.827 0.000 0.000
0.000 5.827 0.000
0.000 0.000 5.827
Li Mn Al Tc
4 4 4 4
Direct
0.000 0.000 0.000 Li
0.000 0.500 0.500 Li
0.500 0.000 0.500 Li
0.500 0.500 0.000 Li
0.000 0.000 0.500 Mn
0.000 0.500 0.000 Mn
0.500 0.000 0.000 Mn
0.500 0.500 0.500 Mn
0.250 0.250 0.750 Al
0.250 0.750 0.250 Al
0.750 0.250 0.250 Al
0.750 0.750 0.750 Al
0.250 0.250 0.250 Tc
0.250 0.750 0.750 Tc
0.750 0.250 0.750 Tc
0.750 0.750 0.250 Tc
```

The total energy comes out at -6.47 eV per atom. The crystal system is cubic. As for the space-group type: F-43m (216). The value obtained for the formation energy is -0.170 eV/atom. The total magnetic moment comes out at 0.0 Bohr magnetons per cell.



[11]
Computed, not measured: a geometry-optimized CaZr2C structure at the GGA-PBE level of DFT.

Geometry as POSCAR:
```
CaZr2C
1.0
6.815 0.000 0.000
0.000 6.815 0.000
0.000 0.000 9.498
Ca Zr C
4 8 4
Direct
0.000 0.000 0.000 Ca
0.000 0.500 0.250 Ca
0.500 0.000 0.750 Ca
0.500 0.500 0.500 Ca
0.062 0.750 0.625 Zr
0.250 0.062 0.375 Zr
0.250 0.438 0.875 Zr
0.438 0.750 0.125 Zr
0.562 0.250 0.125 Zr
0.750 0.562 0.875 Zr
0.750 0.938 0.375 Zr
0.938 0.250 0.625 Zr
0.000 0.000 0.500 C
0.000 0.500 0.750 C
0.500 0.000 0.250 C
0.500 0.500 0.000 C
```

The total energy comes out at -6.75 eV per atom. The crystal system is tetragonal. As for the space-group type: I-42d (122). The value obtained for the formation energy is 0.329 eV/atom. The total magnetic moment comes out at 0.0 Bohr magnetons per cell.



[12]
Computed, not measured: a geometry-optimized Ga2As2Pb structure at the GGA-PBE level of DFT.

Geometry as POSCAR:
```
Ga2As2Pb
1.0
4.182 0.000 0.000
0.000 4.182 0.000
0.000 0.000 13.385
Ga As Pb
4 4 2
Direct
0.000 0.500 0.250 Ga
0.000 0.500 0.750 Ga
0.500 0.000 0.250 Ga
0.500 0.000 0.750 Ga
0.000 0.000 0.125 As
0.000 0.000 0.875 As
0.500 0.500 0.375 As
0.500 0.500 0.625 As
0.000 0.000 0.500 Pb
0.500 0.500 0.000 Pb
```

The total energy comes out at -3.80 eV per atom. Its energy above the most stable polymorph in this dataset is 0.0000 eV/atom. The crystal system is tetragonal. As for the space-group type: I4/mmm (139). The value obtained for the formation energy is 0.015 eV/atom. The total magnetic moment comes out at 0.0 Bohr magnetons per cell.